Arrangement P

Density functional theory data (GGA-PBE) for Pm2MgOs after structural relaxation.

Calculated values
For the volume, the calculation gives 26.356 A^3/atom. The value obtained for the calculated density is 7947 kg/m³. The space-group type is P4/mmm, No. 123. The density of states at the Fermi level is 0.684 states/eV/atom.

The structure in CIF format:
```
data_Pm2MgOs
_cell_length_a 3.454
_cell_length_b 3.454
_cell_length_c 8.835
_cell_angle_alpha 90.00
_cell_angle_beta 90.00
_cell_angle_gamma 90.00
_space_group_name_H-M_alt 'P 1'
_space_group_IT_number 1
loop_
_space_group_symop_operation_xyz
'x,y,z'
loop_
_atom_site_label
_atom_site_fract_x
_atom_site_fract_y
_atom_site_fract_z
Pm1 0.000 0.000 0.805
Pm2 0.000 0.000 0.195
Mg1 0.500 0.500 0.500
Os1 0.500 0.500 0.000
```

Arrangement Q

Density functional theory data (GGA-PBE) for Pm2MgOs after structural relaxation.

Calculated values
For the volume, the calculation gives 23.797 A^3/atom. The value obtained for the calculated density is 8801 kg/m³. The space-group type is P4/mmm, No. 123. The density of states at the Fermi level is 0.983 states/eV/atom.

The structure in CIF format:
```
data_Pm2MgOs
_cell_length_a 3.750
_cell_length_b 5.038
_cell_length_c 5.038
_cell_angle_alpha 90.00
_cell_angle_beta 90.00
_cell_angle_gamma 90.00
_space_group_name_H-M_alt 'P 1'
_space_group_IT_number 1
loop_
_space_group_symop_operation_xyz
'x,y,z'
loop_
_atom_site_label
_atom_site_fract_x
_atom_site_fract_y
_atom_site_fract_z
Mg1 0.500 0.000 0.000
Pm1 0.000 0.000 0.500
Pm2 0.000 0.500 0.000
Os1 0.500 0.500 0.500
```

Structures ranked by computed energy, the most stable listed first: arrangement P, arrangement Q.

Arrangement P

Density functional theory data (GGA-PBE) for Pm2MgOs after structural relaxation.

Calculated values
For the volume, the calculation gives 35.792 A^3/atom. The value obtained for the calculated density is 5852 kg/m³. The space-group type is R-3m, No. 166. The density of states at the Fermi level is 0.628 states/eV/atom.

The structure in CIF format:
```
data_Pm2MgOs
_cell_length_a 4.017
_cell_length_b 4.017
_cell_length_c 10.503
_cell_angle_alpha 78.98
_cell_angle_beta 78.98
_cell_angle_gamma 60.00
_space_group_name_H-M_alt 'P 1'
_space_group_IT_number 1
loop_
_space_group_symop_operation_xyz
'x,y,z'
loop_
_atom_site_label
_atom_site_fract_x
_atom_site_fract_y
_atom_site_fract_z
Os1 0.500 0.500 0.500
Pm1 0.884 0.884 0.348
Pm2 0.116 0.116 0.652
Mg1 0.000 0.000 0.000
```

Arrangement Q

Density functional theory data (GGA-PBE) for Pm2MgOs after structural relaxation.

Calculated values
For the volume, the calculation gives 23.781 A^3/atom. The value obtained for the calculated density is 8807 kg/m³. The space-group type is Fm-3m, No. 225. The density of states at the Fermi level is 0.759 states/eV/atom.

The structure in CIF format:
```
data_Pm2MgOs
_cell_length_a 5.124
_cell_length_b 5.124
_cell_length_c 5.124
_cell_angle_alpha 60.00
_cell_angle_beta 60.00
_cell_angle_gamma 60.00
_space_group_name_H-M_alt 'P 1'
_space_group_IT_number 1
loop_
_space_group_symop_operation_xyz
'x,y,z'
loop_
_atom_site_label
_atom_site_fract_x
_atom_site_fract_y
_atom_site_fract_z
Pm1 0.750 0.750 0.750
Pm2 0.250 0.250 0.250
Mg1 0.500 0.500 0.500
Os1 0.000 0.000 0.000
```

Structures ranked by computed energy, the most stable listed first: arrangement Q, arrangement P.

Arrangement P

Density functional theory data (GGA-PBE) for Pm3MgOs after structural relaxation.

Calculated values
For the volume, the calculation gives 26.230 A^3/atom. The value obtained for the calculated density is 8224 kg/m³. The space-group type is Pm-3m, No. 221. The density of states at the Fermi level is 1.044 states/eV/atom.

The structure in CIF format:
```
data_Pm3MgOs
_cell_length_a 7.328
_cell_length_b 7.328
_cell_length_c 7.328
_cell_angle_alpha 90.00
_cell_angle_beta 90.00
_cell_angle_gamma 90.00
_space_group_name_H-M_alt 'P 1'
_space_group_IT_number 1
loop_
_space_group_symop_operation_xyz
'x,y,z'
loop_
_atom_site_label
_atom_site_fract_x
_atom_site_fract_y
_atom_site_fract_z
Mg1 0.500 0.500 0.000
Mg2 0.500 0.000 0.500
Mg3 0.000 0.500 0.500
Pm1 0.771 0.771 0.229
Pm2 0.229 0.771 0.771
Pm3 0.771 0.771 0.771
Pm4 0.771 0.229 0.229
Pm5 0.229 0.771 0.229
Pm6 0.229 0.229 0.229
Pm7 0.229 0.229 0.771
Pm8 0.500 0.500 0.500
Pm9 0.771 0.229 0.771
Os1 0.000 0.000 0.500
Os2 0.500 0.000 0.000
Os3 0.000 0.500 0.000
```

Arrangement Q

Density functional theory data (GGA-PBE) for Pm3MgOs after structural relaxation.

Calculated values
For the volume, the calculation gives 29.312 A^3/atom. The value obtained for the calculated density is 7359 kg/m³. The space-group type is P2_1/m, No. 11. The density of states at the Fermi level is 0.925 states/eV/atom.

The structure in CIF format:
```
data_Pm3MgOs
_cell_length_a 6.099
_cell_length_b 6.928
_cell_length_c 7.353
_cell_angle_alpha 90.00
_cell_angle_beta 109.37
_cell_angle_gamma 90.00
_space_group_name_H-M_alt 'P 1'
_space_group_IT_number 1
loop_
_space_group_symop_operation_xyz
'x,y,z'
loop_
_atom_site_label
_atom_site_fract_x
_atom_site_fract_y
_atom_site_fract_z
Os1 0.195 0.250 0.035
Os2 0.805 0.750 0.965
Mg1 0.559 0.250 0.370
Mg2 0.441 0.750 0.630
Pm1 0.032 0.495 0.268
Pm2 0.447 0.750 0.117
Pm3 0.968 0.505 0.732
Pm4 0.553 0.250 0.883
Pm5 0.032 0.005 0.268
Pm6 0.968 0.995 0.732
```

Arrangement R

Density functional theory data (GGA-PBE) for Pm3MgOs after structural relaxation.

Calculated values
For the volume, the calculation gives 33.888 A^3/atom. The value obtained for the calculated density is 6365 kg/m³. The space-group type is Pm-3m, No. 221. The density of states at the Fermi level is 0.621 states/eV/atom.

The structure in CIF format:
```
data_Pm3MgOs
_cell_length_a 5.534
_cell_length_b 5.534
_cell_length_c 5.534
_cell_angle_alpha 90.00
_cell_angle_beta 90.00
_cell_angle_gamma 90.00
_space_group_name_H-M_alt 'P 1'
_space_group_IT_number 1
loop_
_space_group_symop_operation_xyz
'x,y,z'
loop_
_atom_site_label
_atom_site_fract_x
_atom_site_fract_y
_atom_site_fract_z
Mg1 0.500 0.500 0.500
Os1 0.000 0.000 0.000
Pm1 0.000 0.500 0.000
Pm2 0.500 0.000 0.000
Pm3 0.000 0.000 0.500
```

Structures ranked by computed energy, the most stable listed first: arrangement Q, arrangement P, arrangement R.